# BaLaNbCrO6 | Alexandria via LeMat-Bulk | PBE+U | relaxed
data_BaLaNbCrO6
_symmetry_space_group_name_H-M 'F -4 3 m'
_symmetry_Int_Tables_number 216
_symmetry_space_group_name_Hall 'F -4 2 3'
_cell_length_a 8.4170
_cell_length_b 8.4170
_cell_length_c 8.4170
_cell_angle_alpha 90.00
_cell_angle_beta 90.00
_cell_angle_gamma 90.00
loop_
_atom_site_label
_atom_site_type_symbol
_atom_site_fract_x
_atom_site_fract_y
_atom_site_fract_z
Ba1 Ba 0.0000 0.0000 0.0000
La1 La 0.2500 0.2500 0.2500
Nb1 Nb 0.0000 0.0000 0.5000
Cr1 Cr 0.2500 0.2500 0.7500
O1 O 0.0230 0.2500 0.7500
# DFT total energy	-7.146	eV/atom
# magnetic moment	4.00	μB/f.u.

# BaLaNbCrO6 | Alexandria via LeMat-Bulk | PBE+U | relaxed
data_BaLaNbCrO6
_symmetry_space_group_name_H-M 'F -4 3 m'
_symmetry_Int_Tables_number 216
_symmetry_space_group_name_Hall 'F -4 2 3'
_cell_length_a 8.0954
_cell_length_b 8.0954
_cell_length_c 8.0954
_cell_angle_alpha 90.00
_cell_angle_beta 90.00
_cell_angle_gamma 90.00
loop_
_atom_site_label
_atom_site_type_symbol
_atom_site_fract_x
_atom_site_fract_y
_atom_site_fract_z
Ba1 Ba 0.0000 0.0000 0.0000
La1 La 0.0000 0.0000 0.5000
Nb1 Nb 0.2500 0.2500 0.7500
Cr1 Cr 0.2500 0.2500 0.2500
O1 O 0.0023 0.2500 0.2500
# DFT total energy	-8.073	eV/atom
# magnetic moment	1.99	μB/f.u.

# Ba2LaCrO6 | Alexandria via LeMat-Bulk | PBE+U | relaxed
data_Ba2LaCrO6
_symmetry_space_group_name_H-M 'F m -3 m'
_symmetry_Int_Tables_number 225
_symmetry_space_group_name_Hall '-F 4 2 3'
_cell_length_a 8.5301
_cell_length_b 8.5301
_cell_length_c 8.5301
_cell_angle_alpha 90.00
_cell_angle_beta 90.00
_cell_angle_gamma 90.00
loop_
_atom_site_label
_atom_site_type_symbol
_atom_site_fract_x
_atom_site_fract_y
_atom_site_fract_z
Ba1 Ba 0.2500 0.2500 0.2500
La1 La 0.0000 0.0000 0.0000
Cr1 Cr 0.0000 0.0000 0.5000
O1 O 0.0000 0.0000 0.2760
# DFT total energy	-7.003	eV/atom
# magnetic moment	1.00	μB/f.u.

# BaLaCr2O8 | Alexandria via LeMat-Bulk | PBE+U | relaxed
data_BaLaCr2O8
_symmetry_space_group_name_H-M 'P -3'
_symmetry_Int_Tables_number 147
_cell_length_a 5.7777
_cell_length_b 5.7777
_cell_length_c 7.8875
_cell_angle_alpha 90.00
_cell_angle_beta 90.00
_cell_angle_gamma 120.00
loop_
_symmetry_equiv_pos_as_xyz
'x,y,z'
'-x,-y,-z'
'-y,x-y,z'
'y,-x+y,-z'
'-x+y,-x,z'
'x-y,x,-z'
loop_
_atom_site_label
_atom_site_type_symbol
_atom_site_fract_x
_atom_site_fract_y
_atom_site_fract_z
Ba1 Ba 0.0000 0.0000 0.0000
La1 La 0.0000 0.0000 0.5000
Cr1 Cr 0.3333 0.6667 0.7808
O1 O 0.1703 0.8262 0.7104
O2 O 0.3333 0.6667 0.9903
# DFT total energy	-7.208	eV/atom
# magnetic moment	1.00	μB/f.u.